(1)
Compound: KBa2SrPd
Source: Alexandria
Functional: GGA-PBE
Structure: optimized geometry

The structure in CIF format:
```
data_KBa2SrPd
_chemical_formula_sum 'K1 Ba2 Sr1 Pd1'
_cell_length_a 6.301
_cell_length_b 6.301
_cell_length_c 6.625
_cell_angle_alpha 90.00
_cell_angle_beta 90.00
_cell_angle_gamma 90.00
_symmetry_space_group_name_H-M 'P 4/m m m'
_symmetry_Int_Tables_number 123
_symmetry_space_group_name_Hall '-P 4 2'
loop_
_atom_site_label
_atom_site_fract_x
_atom_site_fract_y
_atom_site_fract_z
K1 0.000 0.000 0.000
Ba1 0.000 0.500 0.500
Sr1 0.500 0.500 0.000
Pd1 0.000 0.000 0.500
```

Values from the calculation:
spin magnetization: 0.0 Bohr magnetons per cell
uncorrected energy: -2.454 eV per atom
formation enthalpy at 0 K: -0.090 eV/atom



(2)
Compound: Ho2TmThSc4
Source: Alexandria
Functional: GGA-PBE
Structure: optimized geometry

The structure in CIF format:
```
data_Ho2TmThSc4
_chemical_formula_sum 'Ho2 Tm1 Th1 Sc4'
_cell_length_a 4.913
_cell_length_b 4.913
_cell_length_c 9.171
_cell_angle_alpha 90.00
_cell_angle_beta 90.00
_cell_angle_gamma 90.00
_symmetry_space_group_name_H-M 'P 4/m m m'
_symmetry_Int_Tables_number 123
_symmetry_space_group_name_Hall '-P 4 2'
loop_
_atom_site_label
_atom_site_fract_x
_atom_site_fract_y
_atom_site_fract_z
Ho1 0.000 0.000 0.000
Ho2 0.500 0.500 0.500
Tm1 0.000 0.000 0.500
Th1 0.500 0.500 0.000
Sc1 0.000 0.500 0.248
```

Values from the calculation:
spin magnetization: 0.0 Bohr magnetons per cell
uncorrected energy: -5.758 eV per atom
formation enthalpy at 0 K: 0.039 eV/atom



(3)
Compound: Er6IrSe3S2
Source: Alexandria
Functional: GGA-PBE
Structure: optimized geometry

The structure in CIF format:
```
data_Er6IrSe3S2
_chemical_formula_sum 'Er12 Ir2 Se6 S4'
_cell_length_a 17.618
_cell_length_b 3.942
_cell_length_c 8.117
_cell_angle_alpha 90.00
_cell_angle_beta 103.84
_cell_angle_gamma 90.00
_symmetry_space_group_name_H-M 'C 1 2/m 1'
_symmetry_Int_Tables_number 12
loop_
_symmetry_equiv_pos_as_xyz
'x,y,z'
'-x,-y,-z'
'-x,y,-z'
'x,-y,z'
'x+1/2,y+1/2,z'
'-x+1/2,-y+1/2,-z'
'-x+1/2,y+1/2,-z'
'x+1/2,-y+1/2,z'
loop_
_atom_site_label
_atom_site_fract_x
_atom_site_fract_y
_atom_site_fract_z
Er1 0.003 0.000 0.230
Er2 0.160 0.500 0.091
Er3 0.170 0.500 0.571
Ir1 0.000 0.500 0.000
Se1 0.000 0.500 0.500
Se2 0.171 0.000 0.829
S1 0.170 0.000 0.338
```

Values from the calculation:
formation energy from raw total energies: -1.663 eV/atom
spin magnetization: 0.0 Bohr magnetons per cell
uncorrected energy: -6.242 eV per atom



(4)
Compound: BaLiZn2Ir
Source: Alexandria
Functional: GGA-PBE
Structure: optimized geometry

The structure in CIF format:
```
data_BaLiZn2Ir
_chemical_formula_sum 'Ba1 Li1 Zn2 Ir1'
_cell_length_a 4.940
_cell_length_b 4.940
_cell_length_c 4.870
_cell_angle_alpha 90.00
_cell_angle_beta 90.00
_cell_angle_gamma 90.00
_symmetry_space_group_name_H-M 'P 4/m m m'
_symmetry_Int_Tables_number 123
_symmetry_space_group_name_Hall '-P 4 2'
loop_
_atom_site_label
_atom_site_fract_x
_atom_site_fract_y
_atom_site_fract_z
Ba1 0.000 0.000 0.000
Li1 0.500 0.500 0.000
Zn1 0.000 0.500 0.500
Ir1 0.500 0.500 0.500
```

Values from the calculation:
spin magnetization: 0.0 Bohr magnetons per cell
uncorrected energy: -3.254 eV per atom
formation enthalpy at 0 K: -0.205 eV/atom



(5)
Compound: PrCoSi3Ni
Source: Alexandria
Functional: GGA-PBE
Structure: optimized geometry

The structure in CIF format:
```
data_PrCoSi3Ni
_chemical_formula_sum 'Pr4 Co4 Si12 Ni4'
_cell_length_a 6.023
_cell_length_b 11.928
_cell_length_c 5.735
_cell_angle_alpha 90.00
_cell_angle_beta 90.00
_cell_angle_gamma 90.00
_symmetry_space_group_name_H-M 'C m c m'
_symmetry_Int_Tables_number 63
_symmetry_space_group_name_Hall '-C 2c 2'
loop_
_atom_site_label
_atom_site_fract_x
_atom_site_fract_y
_atom_site_fract_z
Pr1 0.000 0.238 0.250
Co1 0.000 0.043 0.750
Si1 0.000 0.219 0.750
Si2 0.215 0.500 0.000
Ni1 0.000 0.397 0.750
```

Values from the calculation:
formation energy from raw total energies: -0.425 eV/atom
spin magnetization: 0.0 Bohr magnetons per cell
uncorrected energy: -6.081 eV per atom



(6)
Compound: Pm8TmSn2
Source: Alexandria
Functional: GGA-PBE
Structure: optimized geometry

The structure in CIF format:
```
data_Pm8TmSn2
_chemical_formula_sum 'Pm16 Tm2 Sn4'
_cell_length_a 16.566
_cell_length_b 6.833
_cell_length_c 6.396
_cell_angle_alpha 90.00
_cell_angle_beta 94.81
_cell_angle_gamma 90.00
_symmetry_space_group_name_H-M 'C 1 2/m 1'
_symmetry_Int_Tables_number 12
loop_
_symmetry_equiv_pos_as_xyz
'x,y,z'
'-x,-y,-z'
'-x,y,-z'
'x,-y,z'
'x+1/2,y+1/2,z'
'-x+1/2,-y+1/2,-z'
'-x+1/2,y+1/2,-z'
'x+1/2,-y+1/2,z'
loop_
_atom_site_label
_atom_site_fract_x
_atom_site_fract_y
_atom_site_fract_z
Pm1 0.083 0.000 0.398
Pm2 0.098 0.246 0.902
Pm3 0.209 0.500 0.334
Tm1 0.000 0.500 0.500
Sn1 0.243 0.000 0.169
```

Values from the calculation:
spin magnetization: 0.0 Bohr magnetons per cell
uncorrected energy: -4.765 eV per atom
formation enthalpy at 0 K: -0.176 eV/atom



Q: What is the formula in the fourth record?
A: BaLiZn2Ir